No. 1
This record from Alexandria describes an optimized crystal structure of NaMgTl2Ni. The functional is GGA-PBE.

Its uncorrected energy is -13.35 eV for the cell shown. The calculation puts the density of states at the Fermi level at 2.926 states/eV per cell. As for the energy of formation: 0.015 eV per atom.

Cell: 5.0857 5.0857 4.9650 Å, 90.00 90.00 90.00°
Atoms (fractional coordinates):
Ni  0.0000  0.0000  0.0000
Tl  0.5000  0.0000  0.0000
Tl  0.0000  0.5000  0.0000
Na  0.5000  0.5000  0.5000
Mg  0.0000  0.0000  0.5000


No. 2
This record from Alexandria describes an optimized crystal structure of NaY2MgNi. The functional is GGA-PBE.

Its uncorrected energy is -21.68 eV for the cell shown. The calculation puts the density of states at the Fermi level at 4.007 states/eV per cell. As for the energy of formation: -0.010 eV per atom.

Cell: 5.2665 5.2665 5.0833 Å, 90.00 90.00 90.00°
Atoms (fractional coordinates):
Na  0.5000  0.5000  0.5000
Ni  0.0000  0.0000  0.0000
Mg  0.0000  0.0000  0.5000
Y  0.0000  0.5000  0.0000
Y  0.5000  0.0000  0.0000


No. 3
This record from Alexandria describes an optimized crystal structure of NaMgZrNi2. The functional is GGA-PBE.

Its uncorrected energy is -17.34 eV for the cell shown. The calculation puts the density of states at the Fermi level at 4.449 states/eV per cell. As for the energy of formation: 1.136 eV per atom.

Cell: 4.5937 5.1433 4.5937 Å, 90.00 90.00 90.00°
Each line ends with the local moment (μB).
Atoms (fractional coordinates):
Mg  0.0000  0.0000  0.0000  0.01
Ni  0.5000  0.0000  0.0000  0.32
Ni  0.0000  0.0000  0.5000  0.45
Na  0.5000  0.5000  0.5000  0.01
Zr  0.0000  0.5000  0.0000  0.76


No. 4
This record from Alexandria describes an optimized crystal structure of Na3Mg2NpO6. The functional is GGA-PBE.

Its uncorrected energy is -78.40 eV for the cell shown. Its formation energy without anion corrections is -2380 meV per atom. The calculation puts the density of states at the Fermi level at 8.103 states/eV per cell.

Cell: 5.5444 5.5444 5.7961 Å, 98.99 98.99 120.16°
Each line ends with the local moment (μB).
Atoms (fractional coordinates):
Np  0.0000  0.0000  0.0000  2.21
O  0.7377  0.7377  0.2065  -0.04
O  0.2623  0.2623  0.7935  -0.04
O  0.0688  0.4005  0.2066  -0.04
O  0.9312  0.5995  0.7934  -0.04
O  0.4005  0.0688  0.2066  -0.04
O  0.5995  0.9312  0.7934  -0.04
Na  0.1746  0.8254  0.5000  0.00
Na  0.5000  0.5000  0.5000  0.00
Na  0.8254  0.1746  0.5000  0.00
Mg  0.6668  0.3332  0.0000  0.00
Mg  0.3332  0.6668  0.0000  0.00


No. 5
This record from Alexandria describes an optimized crystal structure of Na2MgNpO6. The functional is GGA-PBE.

Its uncorrected energy is -137.50 eV for the cell shown. Its formation energy without anion corrections is -2183 meV per atom. The calculation puts the density of states at the Fermi level at 19.279 states/eV per cell.

Cell: 5.6043 5.6898 7.9802 Å, 90.00 89.80 90.00°
Each line ends with the local moment (μB).
Atoms (fractional coordinates):
Mg  0.5000  0.0000  0.0000  0.00
Mg  0.0000  0.5000  0.5000  0.00
Na  0.4925  0.4662  0.2490  0.00
Na  0.9925  0.0338  0.7490  0.00
Na  0.5075  0.5338  0.7510  0.00
Na  0.0075  0.9662  0.2510  0.00
O  0.4193  0.9768  0.7440  0.11
O  0.2150  0.2048  0.4603  0.11
O  0.0807  0.4768  0.7560  0.11
O  0.2850  0.7048  0.0397  0.11
O  0.5807  0.0232  0.2560  0.11
O  0.7150  0.2952  0.9603  0.11
O  0.8000  0.7840  0.9566  0.11
O  0.3000  0.7160  0.4566  0.11
O  0.7850  0.7952  0.5397  0.11
O  0.9193  0.5232  0.2440  0.11
O  0.2000  0.2160  0.0434  0.11
O  0.7000  0.2840  0.5434  0.11
Np  0.5000  0.0000  0.5000  -0.01
Np  0.0000  0.5000  0.0000  -0.01


No. 6
This record from Alexandria describes an optimized crystal structure of NaMgNpO4. The functional is GGA-PBE.

Its uncorrected energy is -103.59 eV for the cell shown. Its formation energy without anion corrections is -2301 meV per atom. The calculation puts the density of states at the Fermi level at 4.229 states/eV per cell.

Cell: 5.5037 5.5037 7.3862 Å, 90.00 90.00 111.70°
Each line ends with the local moment (μB).
Atoms (fractional coordinates):
Na  0.5000  0.5000  0.0000  0.00
Na  0.5000  0.5000  0.5000  0.00
Mg  0.8668  0.1332  0.7500  0.00
Mg  0.1332  0.8668  0.2500  0.00
Np  0.8102  0.1898  0.2500  2.19
Np  0.1898  0.8102  0.7500  2.19
O  0.7710  0.2290  0.9872  -0.08
O  0.2068  0.2482  0.2500  -0.06
O  0.2482  0.2068  0.7500  -0.06
O  0.7932  0.7518  0.7500  -0.06
O  0.7710  0.2290  0.5128  -0.08
O  0.7518  0.7932  0.2500  -0.06
O  0.2290  0.7710  0.0128  -0.08
O  0.2290  0.7710  0.4872  -0.08


No. 7
This record from Alexandria describes an optimized crystal structure of Na4MgNp3S8. The functional is GGA-PBE.

Its uncorrected energy is -100.34 eV for the cell shown. Its formation energy without anion corrections is -1352 meV per atom. The calculation puts the density of states at the Fermi level at 30.295 states/eV per cell.

Cell: 7.9322 8.0756 7.9340 Å, 119.45 119.99 90.00°
Each line ends with the local moment (μB).
Atoms (fractional coordinates):
S  0.2383  0.7223  0.9839  -0.07
S  0.7609  0.2771  0.5217  -0.07
S  0.7423  0.7264  0.4846  -0.09
S  0.7457  0.7223  0.9839  -0.07
S  0.7617  0.2777  0.0161  -0.07
S  0.2543  0.2777  0.0161  -0.07
S  0.2577  0.2736  0.5154  -0.09
S  0.2391  0.7229  0.4783  -0.07
Na  0.0000  0.0000  0.5000  0.00
Na  0.5000  0.0000  0.5000  0.00
Na  0.0000  0.0000  0.0000  0.00
Na  0.5000  0.0000  0.0000  0.00
Np  0.5000  0.5000  0.5000  3.70
Np  0.0000  0.5000  0.5000  3.70
Np  0.5000  0.5000  0.0000  3.70
Mg  0.0000  0.5000  0.0000  0.00


No. 8
This record from Alexandria describes an optimized crystal structure of Na3Mg2NpS6. The functional is GGA-PBE.

Its uncorrected energy is -60.35 eV for the cell shown. Its formation energy without anion corrections is -1292 meV per atom. The calculation puts the density of states at the Fermi level at 7.530 states/eV per cell.

Cell: 6.6083 6.6083 7.0065 Å, 99.04 99.04 120.02°
Each line ends with the local moment (μB).
Atoms (fractional coordinates):
S  0.7420  0.7420  0.2179  -0.07
S  0.5962  0.9271  0.7811  -0.07
S  0.4038  0.0729  0.2189  -0.07
S  0.0729  0.4038  0.2189  -0.07
S  0.9271  0.5962  0.7811  -0.07
S  0.2580  0.2580  0.7821  -0.07
Na  0.5000  0.5000  0.5000  0.00
Na  0.8324  0.1676  0.5000  0.00
Na  0.1676  0.8324  0.5000  0.00
Mg  0.3334  0.6666  0.0000  0.00
Mg  0.6666  0.3334  0.0000  0.00
Np  0.0000  0.0000  0.0000  2.57


No. 9
This record from Alexandria describes an optimized crystal structure of Na3MgNp2S6. The functional is GGA-PBE.

Its uncorrected energy is -72.40 eV for the cell shown. Its formation energy without anion corrections is -1350 meV per atom. The calculation puts the density of states at the Fermi level at 16.687 states/eV per cell.

Cell: 6.8181 6.8181 7.0276 Å, 99.29 99.29 120.00°
Each line ends with the local moment (μB).
Atoms (fractional coordinates):
S  0.4042  0.0744  0.2231  -0.07
S  0.0744  0.4042  0.2231  -0.07
S  0.2556  0.2556  0.7774  -0.07
S  0.5958  0.9256  0.7769  -0.07
S  0.9256  0.5958  0.7769  -0.07
S  0.7444  0.7444  0.2226  -0.07
Na  0.5000  0.5000  0.5000  0.00
Na  0.1653  0.8347  0.5000  0.00
Na  0.8347  0.1653  0.5000  0.00
Np  0.6668  0.3332  0.0000  3.60
Np  0.3332  0.6668  0.0000  3.60
Mg  0.0000  0.0000  0.0000  0.00


No. 10
This record from Alexandria describes an optimized crystal structure of Na3MgNp3S8. The functional is GGA-PBE.

Its uncorrected energy is -97.34 eV for the cell shown. Its formation energy without anion corrections is -1330 meV per atom. The calculation puts the density of states at the Fermi level at 29.437 states/eV per cell.

Cell: 7.8812 7.8800 8.0891 Å, 119.16 90.00 120.00°
Each line ends with the local moment (μB).
Atoms (fractional coordinates):
S  0.7632  0.5265  0.2845  -0.09
S  0.2576  0.5152  0.2731  -0.09
S  0.2363  0.9775  0.7149  -0.09
S  0.7412  0.9775  0.7149  -0.09
S  0.2588  0.0225  0.2851  -0.09
S  0.2368  0.4735  0.7155  -0.09
S  0.7637  0.0225  0.2851  -0.09
S  0.7424  0.4848  0.7269  -0.09
Np  0.5000  0.5000  0.5000  3.50
Np  0.0000  0.5000  0.5000  3.50
Np  0.5000  0.0000  0.5000  3.50
Na  0.0000  0.0000  0.0000  0.00
Na  0.0000  0.5000  0.0000  0.00
Na  0.5000  0.5000  0.0000  0.00
Mg  0.0000  0.0000  0.5000  0.00


No. 11
This record from Alexandria describes an optimized crystal structure of Na2MgNpS4. The functional is GGA-PBE.

Its uncorrected energy is -44.25 eV for the cell shown. Its formation energy without anion corrections is -1320 meV per atom. The calculation puts the density of states at the Fermi level at 10.203 states/eV per cell.

Cell: 3.9349 6.6441 7.0170 Å, 108.64 90.00 90.00°
Each line ends with the local moment (μB).
Atoms (fractional coordinates):
S  0.5000  0.7629  0.7837  -0.07
S  0.0000  0.7425  0.2249  -0.07
S  0.0000  0.2575  0.7751  -0.07
S  0.5000  0.2371  0.2163  -0.07
Na  0.5000  0.0000  0.5000  0.00
Na  0.0000  0.5000  0.5000  0.00
Mg  0.0000  0.0000  0.0000  0.00
Np  0.5000  0.5000  0.0000  3.28


No. 12
This record from Alexandria describes an optimized crystal structure of Na3Mg2NpSe6. The functional is GGA-PBE.

Its uncorrected energy is -54.82 eV for the cell shown. Its formation energy without anion corrections is -1152 meV per atom. The calculation puts the density of states at the Fermi level at 7.937 states/eV per cell.

Cell: 6.9267 6.9267 7.3555 Å, 99.01 99.01 120.03°
Each line ends with the local moment (μB).
Atoms (fractional coordinates):
Na  0.5000  0.5000  0.5000  0.00
Na  0.8333  0.1667  0.5000  0.00
Na  0.1667  0.8333  0.5000  0.00
Se  0.7412  0.7412  0.2203  -0.09
Se  0.5939  0.9263  0.7785  -0.09
Se  0.4061  0.0737  0.2215  -0.09
Se  0.0737  0.4061  0.2215  -0.09
Se  0.9263  0.5939  0.7785  -0.09
Se  0.2588  0.2588  0.7797  -0.09
Mg  0.3330  0.6670  0.0000  0.00
Mg  0.6670  0.3330  0.0000  0.00
Np  0.0000  0.0000  0.0000  2.78